## BaLiPd (PBE)

Data for a geometry-optimized BaLiPd structure.

Output
Polymorph energy (0 for the lowest one) = 203 meV per atom
Energy of formation from the pure elements = -192 meV per atom

Cell lengths 5.145, 5.145, 5.145 Å; angles 60.00, 60.00, 60.00 degrees
Positions (direct):
1 Ba 0.000 0.000 0.000
2 Li 0.500 0.500 0.500
3 Pd 0.250 0.250 0.250